Arrangement A

Material: BaLa2Pt
Method: DFT, GGA-PBEsol
State: relaxed

Results
total magnetic moment	0.000	μB/cell

Lattice parameters (Å, degrees): 4.2181 4.2181 10.2725 78.15 78.15 60.00
Sites, in units of the cell vectors:
Ba1 0.0000 0.0000 0.0000
La1 0.2188 0.2188 0.3436
La2 0.7812 0.7812 0.6564
Pt1 0.5000 0.5000 0.5000


Arrangement B

Material: BaLa2Pt
Method: DFT, GGA-PBEsol
State: relaxed

Results
total magnetic moment	0.000	μB/cell

Lattice parameters (Å, degrees): 3.7621 3.7621 9.1081 90.00 90.00 90.00
Sites, in units of the cell vectors:
La1 0.0000 0.0000 0.0438
La2 0.5000 0.5000 0.3088
Pt1 0.0000 0.0000 0.4531
Ba1 0.5000 0.5000 0.6943


Arrangement C

Material: BaLa2Pt
Method: DFT, GGA-PBEsol
State: relaxed

Results
total magnetic moment	0.000	μB/cell

Lattice parameters (Å, degrees): 5.3090 5.3090 4.0166 90.00 90.00 90.00
Sites, in units of the cell vectors:
La1 0.0000 0.5000 0.0000
La2 0.5000 0.0000 0.0000
Pt1 0.5000 0.5000 0.5000
Ba1 0.0000 0.0000 0.5000


If you had to name the least stable structure above, which would it be? It would be arrangement C.